Entry 1:
VASP calculation (PBE) on a relaxed MgPPdCl2 crystal.

Results
The density of states at the Fermi level is 2.840 states/eV/f.u. The calculation puts the uncorrected formation energy at -6.6 kJ per mole of atoms. The total magnetic moment is 0.00 Bohr magnetons per cell. The value obtained for the relative energy among the computed polymorphs is 0.0 meV per atom.

a = 4.858 Å, b = 4.858 Å, c = 4.798 Å
α = 90.00°, β = 90.00°, γ = 90.00°
Element x y z (fractional)
Pd  0.000  0.000  0.000
Cl  0.500  0.000  0.000
Cl  0.000  0.500  0.000
Mg  0.500  0.500  0.500
P  0.000  0.000  0.500

=====

Entry 2:
VASP calculation (PBE) on a relaxed Nd2Y8Tm3 crystal.

Results
The density of states at the Fermi level is 20.959 states/eV/f.u. The formation enthalpy at 0 K is 1.91 eV per formula unit. The total magnetic moment is 0.00 Bohr magnetons per cell. The value obtained for the relative energy among the computed polymorphs is 0.0 meV per atom.

a = 3.525 Å, b = 11.723 Å, c = 20.705 Å
α = 90.00°, β = 90.02°, γ = 90.00°
Element x y z (fractional)
Y  0.500  0.629  0.786
Y  0.000  0.792  0.447
Y  0.500  0.453  0.928
Y  0.000  0.292  0.053
Y  0.500  0.871  0.286
Y  0.500  0.047  0.428
Y  0.500  0.129  0.714
Y  0.999  0.555  0.341
Y  0.001  0.445  0.659
Y  0.000  0.208  0.553
Y  0.500  0.371  0.214
Y  0.999  0.945  0.841
Y  0.000  0.708  0.947
Y  0.001  0.055  0.159
Y  0.500  0.547  0.072
Y  0.500  0.953  0.572
Tm  0.000  0.500  0.500
Tm  0.001  0.855  0.701
Tm  0.999  0.355  0.799
Tm  0.001  0.645  0.201
Tm  0.000  0.000  0.000
Tm  0.999  0.145  0.299
Nd  0.499  0.178  0.900
Nd  0.501  0.678  0.600
Nd  0.499  0.322  0.400
Nd  0.501  0.822  0.100